Record 1
Material: La5Zn5Ga2
Method: DFT, PBE
State: optimized geometry

```
La5Zn5Ga2
1.0
4.316 0.000 0.974
2.104 7.991 0.726
0.240 -0.206 8.986
Zn La Ga
5 5 2
direct
0.083 0.688 0.146 Zn
0.917 0.312 0.854 Zn
0.297 0.768 0.637 Zn
0.703 0.232 0.363 Zn
0.000 0.000 0.000 Zn
0.618 0.071 0.694 La
0.305 0.288 0.103 La
0.382 0.929 0.306 La
0.695 0.712 0.897 La
0.000 0.500 0.500 La
0.610 0.544 0.236 Ga
0.390 0.456 0.764 Ga
```

Computed properties:
- Total energy: -41.25 eV per formula unit
- Formation enthalpy at 0 K: -349 meV per atom
- Total magnetization: 0.0 μB per formula unit
- ρ: 6.3 g/cm3



Record 2
Material: Sr5Ag2Pt2
Method: DFT, PBE
State: optimized geometry

```
Sr5Ag2Pt2
1.0
7.780 0.000 2.824
0.000 8.272 0.000
1.094 0.000 9.116
Sr Ag Pt
10 4 4
direct
0.957 0.332 0.745 Sr
0.043 0.668 0.255 Sr
0.000 0.000 0.000 Sr
0.543 0.832 0.255 Sr
0.298 0.668 0.745 Sr
0.457 0.168 0.745 Sr
0.798 0.832 0.745 Sr
0.500 0.500 0.000 Sr
0.702 0.332 0.255 Sr
0.202 0.168 0.255 Sr
0.792 0.000 0.415 Ag
0.208 0.000 0.585 Ag
0.708 0.500 0.585 Ag
0.292 0.500 0.415 Ag
0.377 0.876 0.000 Pt
0.877 0.624 0.000 Pt
0.623 0.124 0.000 Pt
0.123 0.376 0.000 Pt
```

Computed properties:
- Total energy: -31.03 eV per formula unit
- Formation enthalpy at 0 K: -538 meV per atom
- Total magnetization: 0.0 μB per formula unit
- ρ: 6.2 g/cm3